Material: PrPN2
Method: DFT, PBE-GGA
State: optimized geometry

Cell and atoms, written as POSCAR:
```
PrPN2
1.0
-4.112 4.050 2.516
-5.172 -3.190 -3.319
1.551 -2.400 6.397
Pr N P
4 8 4
Direct
0.350 0.750 0.500
0.150 0.250 0.000
0.650 0.250 0.500
0.850 0.750 0.000
0.292 0.354 0.376
0.208 0.854 0.876
0.292 0.146 0.624
0.708 0.646 0.624
0.792 0.354 0.876
0.708 0.854 0.376
0.208 0.646 0.124
0.792 0.146 0.124
0.153 0.250 0.500
0.653 0.250 0.000
0.847 0.750 0.500
0.347 0.750 0.000
```

Results
**ΔE to the lowest computed polymorph**: 0 meV per atom
**Energy relative to the elements, uncorrected**: -922 meV/atom



Material: PrPN2
Method: DFT, PBE-GGA
State: optimized geometry

Cell and atoms, written as POSCAR:
```
PrPN2
1.0
-2.851 -0.453 0.472
-0.865 -1.639 2.262
-1.473 4.947 4.912
N Pr P
2 1 1
Direct
0.122 0.122 0.634
0.878 0.878 0.366
0.000 0.000 0.000
0.500 0.500 0.500
```

Results
**ΔE to the lowest computed polymorph**: 1260 meV per atom
**Energy relative to the elements, uncorrected**: 338 meV/atom



Material: Pr2P2N5
Method: DFT, PBE-GGA
State: optimized geometry

Cell and atoms, written as POSCAR:
```
Pr2P2N5
1.0
-2.200 -0.688 -5.247
1.981 -4.969 -0.179
-6.398 0.123 5.797
P Pr N
4 4 10
Direct
0.500 0.546 0.000
0.000 0.046 0.000
0.172 0.270 0.500
0.828 0.770 0.500
0.132 0.625 0.229
0.868 0.396 0.771
0.596 0.125 0.229
0.404 0.896 0.771
0.222 0.222 0.987
0.224 0.145 0.319
0.063 0.571 0.500
0.937 0.071 0.500
0.778 0.235 0.013
0.736 0.735 0.013
0.776 0.826 0.681
0.264 0.722 0.987
0.595 0.645 0.319
0.405 0.326 0.681
```

Results
**Energy relative to the elements, uncorrected**: -701 meV/atom



Material: Pr2PN3
Method: DFT, PBE-GGA
State: optimized geometry

Cell and atoms, written as POSCAR:
```
Pr2PN3
1.0
-1.510 -1.011 -4.583
5.785 0.584 0.709
-2.421 -8.051 0.455
Pr P N
4 2 6
Direct
0.435 0.683 0.864
0.565 0.317 0.136
0.166 0.753 0.400
0.834 0.247 0.600
0.129 0.067 0.805
0.871 0.933 0.195
0.198 0.881 0.139
0.968 0.270 0.276
0.705 0.807 0.364
0.802 0.119 0.861
0.295 0.193 0.636
0.032 0.730 0.724
```

Results
**Energy relative to the elements, uncorrected**: -1046 meV/atom



Material: Pr7PN5
Method: DFT, PBE-GGA
State: optimized geometry

Cell and atoms, written as POSCAR:
```
Pr7PN5
1.0
-3.327 0.142 -1.777
-1.250 -0.560 6.301
-0.098 22.097 1.947
N Pr P
10 14 2
Direct
0.000 0.001 0.000
0.449 0.899 0.857
0.726 0.452 0.927
0.726 0.451 0.573
0.449 0.899 0.643
0.000 0.000 0.500
0.274 0.550 0.427
0.551 0.102 0.143
0.274 0.550 0.073
0.551 0.102 0.357
0.820 0.640 0.666
0.181 0.361 0.334
0.522 0.045 0.750
0.637 0.274 0.468
0.364 0.727 0.968
0.363 0.727 0.532
0.085 0.171 0.898
0.820 0.640 0.834
0.181 0.361 0.166
0.915 0.831 0.102
0.637 0.274 0.032
0.915 0.831 0.398
0.085 0.170 0.602
0.479 0.957 0.250
0.802 0.604 0.250
0.199 0.397 0.750
```

Results
**Energy relative to the elements, uncorrected**: -1244 meV/atom



Material: Pr6PN4
Method: DFT, PBE-GGA
State: optimized geometry

Cell and atoms, written as POSCAR:
```
Pr6PN4
1.0
-0.460 -3.329 1.757
3.114 -1.184 -5.521
16.693 2.392 8.904
Pr N P
12 8 2
Direct
0.500 0.000 0.500
0.778 0.556 0.079
0.045 0.089 0.152
0.222 0.444 0.921
0.955 0.911 0.652
0.500 0.000 0.000
0.778 0.556 0.421
0.955 0.911 0.848
0.658 0.316 0.750
0.222 0.444 0.579
0.045 0.089 0.348
0.342 0.684 0.250
0.861 0.722 0.540
0.139 0.278 0.040
0.415 0.829 0.125
0.139 0.278 0.460
0.415 0.829 0.375
0.585 0.171 0.625
0.585 0.171 0.875
0.861 0.722 0.960
0.335 0.669 0.750
0.665 0.331 0.250
```

Results
**Energy relative to the elements, uncorrected**: -1226 meV/atom



Material: Pr2PN4
Method: DFT, PBE-GGA
State: optimized geometry

Cell and atoms, written as POSCAR:
```
Pr2PN4
1.0
-4.463 -3.291 0.801
1.278 -3.228 -6.136
5.626 -6.510 4.596
Pr N P
8 16 4
Direct
0.250 0.653 0.079
0.750 0.001 0.193
0.750 0.501 0.307
0.250 0.499 0.693
0.250 0.153 0.421
0.750 0.847 0.579
0.250 0.999 0.807
0.750 0.347 0.921
0.750 0.507 0.576
0.489 0.804 0.344
0.489 0.304 0.156
0.750 0.007 0.924
0.750 0.678 0.074
0.011 0.804 0.344
0.250 0.322 0.926
0.511 0.196 0.656
0.989 0.196 0.656
0.750 0.178 0.426
0.250 0.993 0.076
0.250 0.822 0.574
0.250 0.493 0.424
0.011 0.304 0.156
0.989 0.696 0.844
0.511 0.696 0.844
0.250 0.724 0.420
0.750 0.776 0.920
0.250 0.224 0.080
0.750 0.276 0.580
```

Results
**Energy relative to the elements, uncorrected**: -1026 meV/atom



Material: PrPN2
Method: DFT, PBE-GGA
State: optimized geometry

Cell and atoms, written as POSCAR:
```
PrPN2
1.0
4.763 0.028 -0.126
-0.048 6.044 1.119
-0.103 1.187 4.741
P N Pr
2 4 2
Direct
0.508 0.520 0.669
0.015 0.221 0.805
0.874 0.983 0.801
0.325 0.288 0.637
0.044 0.215 0.139
0.832 0.475 0.568
0.094 0.612 0.119
0.580 0.083 0.355
```

Results
**ΔE to the lowest computed polymorph**: 48 meV per atom
**Energy relative to the elements, uncorrected**: -874 meV/atom



Material: PrP4N7
Method: DFT, PBE-GGA
State: optimized geometry

Cell and atoms, written as POSCAR:
```
PrP4N7
1.0
-4.253 -0.893 2.300
-0.618 -4.628 -2.940
6.024 -6.321 8.682
N P Pr
14 8 2
Direct
0.440 0.356 0.660
0.940 0.644 0.840
0.041 0.318 0.500
0.208 0.019 0.797
0.071 0.730 0.374
0.071 0.730 0.626
0.571 0.270 0.874
0.208 0.019 0.203
0.541 0.682 0.000
0.708 0.981 0.703
0.440 0.356 0.340
0.940 0.644 0.160
0.708 0.981 0.297
0.571 0.270 0.126
0.980 0.840 0.745
0.731 0.509 0.915
0.231 0.491 0.415
0.980 0.840 0.255
0.731 0.509 0.085
0.480 0.160 0.245
0.480 0.160 0.755
0.231 0.491 0.585
0.756 0.970 0.500
0.256 0.030 0.000
```

Results
**Energy relative to the elements, uncorrected**: -518 meV/atom



Material: Pr12P3N5
Method: DFT, PBE-GGA
State: optimized geometry

Cell and atoms, written as POSCAR:
```
Pr12P3N5
1.0
13.717 0.000 0.000
-4.572 12.933 0.000
-4.572 -6.466 11.200
Pr P N
48 12 20
Direct
0.381 0.976 0.794
0.206 0.524 0.619
0.294 0.881 0.976
0.595 0.619 0.413
0.587 0.706 0.682
0.976 0.595 0.182
0.881 0.294 0.476
0.413 0.294 0.318
0.682 0.206 0.587
0.095 0.182 0.476
0.294 0.413 0.818
0.818 0.905 0.024
0.476 0.794 0.881
0.405 0.024 0.318
0.587 0.881 0.405
0.682 0.476 0.595
0.595 0.976 0.682
0.524 0.318 0.905
0.182 0.095 0.976
0.905 0.087 0.881
0.905 0.818 0.524
0.024 0.619 0.706
0.318 0.524 0.405
0.619 0.595 0.913
0.881 0.587 0.905
0.087 0.182 0.206
0.913 0.095 0.619
0.024 0.405 0.818
0.206 0.682 0.087
0.182 0.087 0.706
0.818 0.913 0.294
0.318 0.794 0.413
0.405 0.381 0.587
0.794 0.476 0.381
0.119 0.413 0.095
0.476 0.682 0.095
0.413 0.119 0.595
0.095 0.913 0.119
0.706 0.119 0.024
0.524 0.206 0.119
0.619 0.024 0.206
0.976 0.381 0.294
0.706 0.587 0.182
0.381 0.405 0.087
0.794 0.318 0.913
0.913 0.818 0.794
0.119 0.706 0.524
0.087 0.905 0.381
0.375 0.625 0.250
0.250 0.125 0.375
0.250 0.625 0.875
0.125 0.250 0.875
0.875 0.125 0.250
0.875 0.750 0.125
0.125 0.875 0.750
0.625 0.250 0.375
0.750 0.875 0.625
0.625 0.375 0.750
0.375 0.750 0.625
0.750 0.375 0.125
0.250 0.875 0.125
0.875 0.250 0.625
0.000 0.000 0.000
0.500 0.500 0.500
0.000 0.000 0.500
0.500 0.000 0.000
0.875 0.625 0.750
0.500 0.000 0.500
0.125 0.375 0.250
0.750 0.625 0.375
0.000 0.500 0.500
0.625 0.875 0.250
0.750 0.125 0.875
0.625 0.750 0.875
0.500 0.500 0.000
0.125 0.750 0.375
0.375 0.250 0.125
0.375 0.125 0.750
0.250 0.375 0.625
0.000 0.500 0.000
```

Results
**Energy relative to the elements, uncorrected**: -962 meV/atom



Material: Pr3PN2
Method: DFT, PBE-GGA
State: optimized geometry

Cell and atoms, written as POSCAR:
```
Pr3PN2
1.0
3.876 -0.003 -0.883
-0.205 3.943 -0.900
-0.102 -0.143 8.501
Pr N P
3 2 1
Direct
0.612 0.539 0.230
0.257 0.183 0.518
0.934 0.943 0.874
0.762 0.825 0.529
0.106 0.170 0.218
0.434 0.454 0.874
```

Results
**Energy relative to the elements, uncorrected**: -1199 meV/atom



Material: Pr2PN
Method: DFT, PBE-GGA
State: optimized geometry

Cell and atoms, written as POSCAR:
```
Pr2PN
1.0
3.917 0.000 0.000
1.959 3.392 0.000
1.959 1.131 6.543
P Pr N
1 2 1
Direct
0.500 0.500 0.500
0.260 0.260 0.221
0.740 0.740 0.779
0.000 0.000 0.000
```

Results
**ΔE to the lowest computed polymorph**: 0 meV per atom
**Energy relative to the elements, uncorrected**: -1283 meV/atom